Record 1
Sr4ZnCu3: optimized geometry, GGA-PBE.

Properties
crystal system = orthorhombic
total magnetic moment = 0.00 Bohr magnetons per cell
E = -2.65 eV/atom
ρ = 4.28 g/cm³
V = 29.4 A^3/atom
energy of formation = -0.119 eV per atom

Unit cell a=4.4481 b=4.4587 c=11.8521 alpha=90.00 beta=90.00 gamma=90.00
Element x y z (fractional)
1 Sr 0.5000 0.5000 0.3639
2 Sr 0.0000 0.5000 0.8547
3 Sr 0.0000 0.0000 0.1421
4 Sr 0.5000 0.0000 0.6377
5 Zn 0.5000 0.5000 0.0552
6 Cu 0.0000 0.5000 0.5549
7 Cu 0.0000 0.0000 0.4471
8 Cu 0.5000 0.0000 0.9442



Record 2
Sr3Zn6Cu5: optimized geometry, GGA-PBE.

Properties
crystal system = orthorhombic
total magnetic moment = 0.00 Bohr magnetons per cell
E = -2.51 eV/atom
ρ = 5.99 g/cm³
V = 19.3 A^3/atom
energy of formation = -0.136 eV per atom

Unit cell a=4.3371 b=9.5485 c=13.0232 alpha=90.00 beta=90.00 gamma=90.00
Element x y z (fractional)
1 Sr 0.0000 0.2443 0.6938
2 Sr 0.5000 0.7557 0.1938
3 Sr 0.5000 0.7557 0.8062
4 Sr 0.0000 0.2655 0.0000
5 Sr 0.5000 0.7345 0.5000
6 Sr 0.0000 0.2443 0.3062
7 Zn 0.0000 0.9818 0.8647
8 Zn 0.5000 0.0182 0.6353
9 Zn 0.5000 0.4165 0.8199
10 Zn 0.5000 0.5519 0.0000
11 Zn 0.0000 0.4481 0.5000
12 Zn 0.0000 0.5835 0.6801
13 Zn 0.0000 0.5835 0.3199
14 Zn 0.5000 0.9703 0.0000
15 Zn 0.0000 0.9818 0.1353
16 Zn 0.5000 0.4165 0.1801
17 Zn 0.0000 0.0297 0.5000
18 Zn 0.5000 0.0182 0.3647
19 Cu 0.0000 0.5492 0.8892
20 Cu 0.0000 0.8808 0.6629
21 Cu 0.0000 0.7742 0.0000
22 Cu 0.5000 0.4508 0.6108
23 Cu 0.5000 0.2258 0.5000
24 Cu 0.0000 0.5492 0.1108
25 Cu 0.5000 0.4508 0.3892
26 Cu 0.0000 0.8808 0.3371
27 Cu 0.5000 0.1192 0.8371
28 Cu 0.5000 0.1192 0.1629